First-principles (GGA-PBE) data for an optimized crystal structure of AuBr2, as listed in Alexandria via LeMat-Bulk. Values from VASP.

## Properties
* uncorrected formation energy: 0.093 eV per atom
* M_tot: 0.000 μB/atom

Structure (Quantum ESPRESSO input):
```
&SYSTEM
  ibrav = 0, nat = 9, ntyp = 2
/
ATOMIC_SPECIES
Au 196.97 Au.upf
Br 79.90 Br.upf
CELL_PARAMETERS angstrom
6.964 0.000 0.000
-3.482 6.031 0.000
0.000 0.000 7.699
ATOMIC_POSITIONS angstrom
Au 0.000 0.000 0.000
Au 0.000 4.021 3.849
Au 3.482 2.010 3.849
Br -0.991 1.717 3.849
Br -2.256 3.908 0.000
Br 1.982 0.000 3.849
Br 1.226 2.123 0.000
Br 4.512 0.000 0.000
Br 2.491 4.314 3.849
```

First-principles (GGA-PBE) data for an optimized crystal structure of AuBr, as listed in Alexandria via LeMat-Bulk. Values from VASP.

## Properties
* uncorrected formation energy: 0.305 eV per atom
* M_tot: 0.000 μB/atom

Structure (Quantum ESPRESSO input):
```
&SYSTEM
  ibrav = 0, nat = 2, ntyp = 2
/
ATOMIC_SPECIES
Au 196.97 Au.upf
Br 79.90 Br.upf
CELL_PARAMETERS angstrom
3.914 0.000 0.000
-1.957 3.389 0.000
0.000 0.000 3.738
ATOMIC_POSITIONS angstrom
Au 0.000 0.000 0.000
Br 1.957 1.130 1.869
```

N(E_F) for every record listed, in sequence, given in states/eV/f.u.: 3.57; 1.14.